Mn2AgBr2O2 | PBE with a Hubbard U | optimized geometry

Results
Its uncorrected energy is -5.34 eV/atom. The density of states at the Fermi level comes out at 3.47 states/eV per cell. The total magnetic moment comes out at 1.2857 μB/atom.

Structure (CIF):
```
data_Mn2AgBr2O2
_space_group_name_H-M_alt 'P -3 m 1'
_space_group_IT_number 164
_space_group_name_Hall '-P 3 2"'
_cell_length_a 3.6486
_cell_length_b 3.6486
_cell_length_c 11.5906
_cell_angle_alpha 90.00
_cell_angle_beta 90.00
_cell_angle_gamma 120.00
loop_
_atom_site_label
_atom_site_type_symbol
_atom_site_fract_x
_atom_site_fract_y
_atom_site_fract_z
Mn1 Mn 0.3333 0.6667 0.1055
Ag1 Ag 0.0000 0.0000 0.5000
Br1 Br 0.0000 0.0000 0.2852
O1 O 0.3333 0.6667 0.9258
```